Record 1
FeTc2Cl after structural relaxation. Source: Alexandria via LeMat-Bulk, functional PBE.

```
FeTc2Cl
1.0
2.9855 0.0000 0.0000
0.0000 3.0077 0.0000
0.0000 0.0000 6.9111
Fe Tc Cl
1 2 1
Cartesian
0.0000 0.0000 0.0000
1.4928 1.5038 1.3546
1.4928 1.5038 5.5565
0.0000 1.5038 3.4555
```

Summary:
For the energy above the most stable polymorph in this dataset, the calculation gives 0.088 eV per atom. The symmetry is Pmmm (47). The formation energy from raw total energies comes out at 0.33 eV per atom.

Record 2
AcPr2DyTm after structural relaxation. Source: Alexandria via LeMat-Bulk, functional PBE.

```
AcPr2DyTm
1.0
6.4645 0.0000 0.0000
0.0000 5.9239 0.0000
-3.1901 0.0000 9.3584
Ac Pr Dy Tm
2 4 2 2
Cartesian
0.5518 1.4810 0.9810
2.7225 4.4429 8.3775
-0.5119 4.4429 6.5534
0.5813 1.4810 4.6986
2.6931 4.4429 4.6598
3.7863 1.4810 2.8051
2.7433 4.4429 0.9768
0.5311 1.4810 8.3816
-0.5648 4.4429 2.8714
3.8392 1.4810 6.4870
```

Summary:
The symmetry is P2_1/m (11). The calculation puts the formation enthalpy at 0 K at 0.05 eV/atom.